This record from Alexandria describes an optimized crystal structure of ZnTeCl. The functional is PBE-GGA.

abc: 3.268 3.268 14.518
angles: 90.00 90.00 90.00
Space group I4mm (No. 107)
Symmetry-distinct sites (fractional):
Zn 0.000 0.000 0.000
Te 0.000 0.000 0.646
Cl 0.000 0.000 0.407

## Properties
ρ ... 4.89 g/cm3
Formation energy from raw total energies ... -188.8 meV per atom
Magnetic moment ... 0.000 μB per formula unit